[1]
Re2HgW | PBEsol | relaxed

Properties
The calculation puts the energy of formation from the pure elements at 0.82 eV/atom.

Geometry as extended XYZ:
```
4
Lattice="3.2205 0.0000 0.0000 0.0000 4.4127 0.0000 0.0000 0.0000 4.4633" Properties=species:S:1:pos:R:3 pbc="T T T"
Re 0.0000 0.0000 0.0000
Re 1.6103 0.0000 2.2317
Hg 0.0000 2.2063 2.2317
W 1.6103 2.2063 0.0000
```

=====

[2]
Nb3HgI | PBEsol | relaxed

Properties
Its formation energy without anion corrections is 1614 meV per atom.

Geometry as extended XYZ:
```
5
Lattice="4.9593 0.0000 0.0000 0.0000 4.9593 0.0000 0.0000 0.0000 4.9593" Properties=species:S:1:pos:R:3 pbc="T T T"
Nb 0.0000 0.0000 2.4796
Nb 0.0000 2.4796 0.0000
Nb 2.4796 0.0000 0.0000
Hg 2.4796 2.4796 2.4796
I 0.0000 0.0000 0.0000
```

=====

[3]
CuGe3P | PBEsol | relaxed

Properties
The calculation puts the energy of formation from the pure elements at 0.61 eV/atom.

Geometry as extended XYZ:
```
5
Lattice="4.5728 0.0000 0.0000 0.0000 4.5728 0.0000 0.0000 0.0000 4.5728" Properties=species:S:1:pos:R:3 pbc="T T T"
Cu 0.0000 0.0000 0.0000
Ge 0.0000 0.0000 2.2864
Ge 0.0000 2.2864 0.0000
Ge 2.2864 0.0000 0.0000
P 2.2864 2.2864 2.2864
```

=====

Uncorrected energy list, top to bottom, in eV per cell: -37.8, -26.7, -21.9
Calculated density list, top to bottom, in g/cm3: 19.81, 8.25, 5.43